Below is crystalline NaAcGe2 at its relaxed geometry, with properties calculated at the PBE-GGA level.

ΔH_f (0 K) in eV per formula unit: -1.85
SG: Pnma, No. 62
M_tot in μB per formula unit: 0.0
Raw total energy in eV per formula unit: -16.52

Unit cell a=7.2609 b=4.6791 c=12.5780 alpha=90.00 beta=90.00 gamma=90.00
Closest atoms and distances in Å follow each position.
Fractional coordinates of all 16 atoms:
1 Na 0.1521 0.2500 0.0463  5 Ge 2.89-3.09
2 Na 0.3479 0.7500 0.5463  5 Ge 2.89-3.09
3 Na 0.6521 0.2500 0.4537  5 Ge 2.89-3.09
4 Na 0.8479 0.7500 0.9537  5 Ge 2.89-3.09
5 Ac 0.1530 0.2500 0.3310  8 Ge 3.32-3.58, 1 Na 3.58
6 Ac 0.3470 0.7500 0.8310  8 Ge 3.32-3.58, 1 Na 3.58
7 Ac 0.6530 0.2500 0.1690  8 Ge 3.32-3.58, 1 Na 3.58
8 Ac 0.8470 0.7500 0.6690  8 Ge 3.32-3.58, 1 Na 3.58
9 Ge 0.0232 0.2500 0.8289  2 Ge 2.57-2.61
10 Ge 0.1678 0.2500 0.6424  2 Ge 2.57-2.61
11 Ge 0.3322 0.7500 0.1424  2 Ge 2.57-2.61
12 Ge 0.4768 0.7500 0.3289  2 Ge 2.57-2.61
13 Ge 0.5232 0.2500 0.6711  2 Ge 2.57-2.61
14 Ge 0.6678 0.2500 0.8576  2 Ge 2.57-2.61
15 Ge 0.8322 0.7500 0.3576  2 Ge 2.57-2.61
16 Ge 0.9768 0.7500 0.1711  2 Ge 2.57-2.61

=====

Below is crystalline CsK7Na5 at its relaxed geometry, with properties calculated at the PBE-GGA level.

ΔH_f (0 K) in eV per formula unit: 0.20
SG: Imm2, No. 44
M_tot in μB per formula unit: 0.0
Raw total energy in eV per formula unit: -14.93

Unit cell a=10.7612 b=10.7612 c=10.7612 alpha=137.62 beta=98.39 gamma=96.63
Closest atoms and distances in Å follow each position.
Fractional coordinates of all 13 atoms:
1 Cs 0.0000 0.0000 0.0000  10 K 4.76-5.15, 6 Na 4.94-5.19
2 K 0.2076 0.5066 0.7010  5 Na 4.03-4.23, 3 K 4.33-4.40
3 K 0.2356 0.7356 0.5000  4 Na 4.14, 6 K 4.26-4.59
4 K 0.3576 0.3576 0.0000  5 K 4.26-4.71, 4 Na 4.33
5 K 0.3658 0.0186 0.3473  5 Na 4.19-4.41, 4 K 4.30-4.59
6 K 0.6676 0.6676 0.0000  6 Na 4.15-4.25, 1 K 4.44
7 K 0.6713 0.0186 0.6527  5 Na 4.19-4.41, 4 K 4.30-4.59
8 K 0.8056 0.5066 0.2990  5 Na 4.03-4.23, 3 K 4.33-4.40
9 Na 0.0046 0.0138 0.4927  3 Na 3.88-3.93, 6 K 4.03-4.33
10 Na 0.0046 0.5119 0.9908  3 Na 3.88-3.93, 6 K 4.03-4.33
11 Na 0.5210 0.0138 0.0092  3 Na 3.88-3.93, 6 K 4.03-4.33
12 Na 0.5210 0.5119 0.5073  3 Na 3.88-3.93, 6 K 4.03-4.33
13 Na 0.7871 0.2871 0.5000  4 Na 3.93, 4 K 4.23-4.25

=====

Below is crystalline PrPuCdRu at its relaxed geometry, with properties calculated at the PBE-GGA level.

ΔH_f (0 K) in eV per formula unit: 0.05
SG: F-43m, No. 216
M_tot in μB per formula unit: 5.4
Raw total energy in eV per formula unit: -29.25

Unit cell a=5.1425 b=5.1425 c=5.1425 alpha=60.00 beta=60.00 gamma=60.00
Closest atoms and distances in Å follow each position.
Fractional coordinates of all 4 atoms:
1 Pr 0.0000 0.0000 0.0000  4 Cd 3.15, 4 Ru 3.15
2 Pu 0.5000 0.5000 0.5000  4 Ru 3.15, 4 Cd 3.15
3 Cd 0.2500 0.2500 0.2500  4 Pu 3.15, 4 Pr 3.15
4 Ru 0.7500 0.7500 0.7500  4 Pr 3.15, 4 Pu 3.15

=====

Below is crystalline Cs2NiTeBr6 at its relaxed geometry, with properties calculated at the PBE-GGA level.

SG: I4/mmm, No. 139
E_form (uncorrected) in eV/atom: -0.87
M_tot in μB per formula unit: 0.0
Raw total energy in eV per formula unit: -29.37

Unit cell a=7.7562 b=7.7562 c=7.7562 alpha=120.06 beta=120.06 gamma=89.90
Closest atoms and distances in Å follow each position.
Fractional coordinates of all 10 atoms:
1 Cs 0.2500 0.7500 0.5000  12 Br 3.88
2 Cs 0.7500 0.2500 0.5000  12 Br 3.88
3 Ni 0.0000 0.0000 0.0000  6 Br 2.53-2.56
4 Te 0.5000 0.5000 0.0000  6 Br 2.93-2.95
5 Br 0.2310 0.2310 0.4620  1 Ni 2.53
6 Br 0.2310 0.7690 0.0000  1 Ni 2.53
7 Br 0.2328 0.2328 0.0000  1 Ni 2.56
8 Br 0.7672 0.7672 0.0000  1 Ni 2.56
9 Br 0.7690 0.2310 0.0000  1 Ni 2.53
10 Br 0.7690 0.7690 0.5380  1 Ni 2.53

=====

Below is crystalline SrI4N2 at its relaxed geometry, with properties calculated at the PBE-GGA level.

SG: C2/m, No. 12
E_form (uncorrected) in eV/atom: 0.14
M_tot in μB per formula unit: 0.0
Raw total energy in eV per formula unit: -23.52

Unit cell a=7.9138 b=7.9138 c=8.1194 alpha=117.84 beta=117.84 gamma=32.07
Closest atoms and distances in Å follow each position.
Fractional coordinates of all 7 atoms:
1 Sr 0.0000 0.0000 0.0000  2 N 2.62
2 I 0.2142 0.2142 0.8103  1 N 1.90
3 I 0.4044 0.4044 0.6568  2 Sr 3.27, 1 I 3.66
4 I 0.5956 0.5956 0.3432  2 Sr 3.27, 1 I 3.66
5 I 0.7858 0.7858 0.1897  1 N 1.90
6 N 0.1702 0.1702 0.9928  1 I 1.90
7 N 0.8298 0.8298 0.0072  1 I 1.90

=====

Below is crystalline Pm3TmCd3 at its relaxed geometry, with properties calculated at the PBE-GGA level.

ΔH_f (0 K) in eV per formula unit: -0.70
SG: C2/m, No. 12
M_tot in μB per formula unit: 0.0
Raw total energy in eV per formula unit: -22.17

Unit cell a=7.1503 b=7.1503 c=8.4737 alpha=94.61 beta=94.61 gamma=103.69
Closest atoms and distances in Å follow each position.
Fractional coordinates of all 14 atoms:
1 Pm 0.1737 0.8263 0.0000  6 Cd 3.01-3.22
2 Pm 0.2446 0.7554 0.5000  6 Cd 3.25-3.45, 2 Tm 3.40
3 Pm 0.3619 0.3619 0.1296  2 Tm 3.49-3.88, 3 Pm 3.49-3.79, 5 Cd 3.51-3.75
4 Pm 0.6381 0.6381 0.8704  2 Tm 3.49-3.88, 3 Pm 3.49-3.79, 5 Cd 3.51-3.75
5 Pm 0.7554 0.2446 0.5000  6 Cd 3.25-3.45, 2 Tm 3.40
6 Pm 0.8263 0.1737 0.0000  6 Cd 3.01-3.22
7 Tm 0.3001 0.3001 0.5280  4 Cd 2.99-3.16
8 Tm 0.6999 0.6999 0.4720  4 Cd 2.99-3.16
9 Cd 0.0064 0.0064 0.7042  3 Cd 3.11-3.45, 2 Tm 3.13-3.16, 4 Pm 3.18-3.25
10 Cd 0.1005 0.4520 0.7876  1 Tm 2.99, 3 Pm 3.01-3.31, 1 Cd 3.11
11 Cd 0.4520 0.1005 0.7876  1 Tm 2.99, 3 Pm 3.01-3.31, 1 Cd 3.11
12 Cd 0.5480 0.8995 0.2124  1 Tm 2.99, 3 Pm 3.01-3.31, 1 Cd 3.11
13 Cd 0.8995 0.5480 0.2124  1 Tm 2.99, 3 Pm 3.01-3.31, 1 Cd 3.11
14 Cd 0.9936 0.9936 0.2958  3 Cd 3.11-3.45, 2 Tm 3.13-3.16, 4 Pm 3.18-3.25

=====

Question: M_tot of number 5 (SrI4N2)?
Answer: 0.0 μB per formula unit

=====

Copy entry 3 word for word.
Below is crystalline PrPuCdRu at its relaxed geometry, with properties calculated at the PBE-GGA level.

ΔH_f (0 K) in eV per formula unit: 0.05
SG: F-43m, No. 216
M_tot in μB per formula unit: 5.4
Raw total energy in eV per formula unit: -29.25

Unit cell a=5.1425 b=5.1425 c=5.1425 alpha=60.00 beta=60.00 gamma=60.00
Closest atoms and distances in Å follow each position.
Fractional coordinates of all 4 atoms:
1 Pr 0.0000 0.0000 0.0000  4 Cd 3.15, 4 Ru 3.15
2 Pu 0.5000 0.5000 0.5000  4 Ru 3.15, 4 Cd 3.15
3 Cd 0.2500 0.2500 0.2500  4 Pu 3.15, 4 Pr 3.15
4 Ru 0.7500 0.7500 0.7500  4 Pr 3.15, 4 Pu 3.15

=====

Question: Which of these has the highest M_tot?
Answer: PrPuCdRu

=====

Question: Look up the raw total energy of the fourth one.
Answer: -29.37 eV per formula unit